(1)
A relaxed structure of Cu5GeAu4. Source: Alexandria via LeMat-Bulk, functional PBE.

The space group is P1 (No. 1) and the conventional cell measures 4.9698, 5.3202 and 6.8818 Å, with angles of 107.41, 93.39 and 117.23 degrees. The inequivalent atoms are Cu at (0.0000, 0.0000, 0.0000), Cu at (0.0920, 0.8774, 0.3247), Cu at (0.4102, 0.8217, 0.8039), Cu at (0.5277, 0.6543, 0.1226), Cu at (0.6781, 0.0438, 0.5114), Ge at (0.5599, 0.1758, 0.1912), Au at (0.1830, 0.4437, 0.3814), Au at (0.2882, 0.2399, 0.7245), Au at (0.7965, 0.6362, 0.5998) and Au at (0.9072, 0.4378, 0.9430).

The volume comes out at 150.2 Å³/cell. For the calculated formation energy, the calculation gives -0.003 eV per atom. Its density of states at the Fermi level is 2.88 states/eV per cell. The calculation puts the raw total energy at -3.824 eV per atom. Its total moment is 0.000 μB/atom.



(2)
A relaxed structure of CuGeAu2. Source: Alexandria via LeMat-Bulk, functional PBE.

The space group is R3m (No. 160, hexagonal axes) and the conventional cell measures 3.5226, 3.5226 and 20.5165 Å, with angles of 90.00, 90.00 and 120.00 degrees. The inequivalent atoms are Cu at (0.0000, 0.0000, 0.0000), Ge at (0.0000, 0.0000, 0.1677), Au at (0.0000, 0.0000, 0.5872) and Au at (0.0000, 0.0000, 0.7472).

The volume comes out at 220.5 Å³/cell. For the calculated formation energy, the calculation gives 0.127 eV per atom. Its density of states at the Fermi level is 1.73 states/eV per cell. The calculation puts the raw total energy at -3.690 eV per atom. Its total moment is 0.000 μB/atom.



(3)
A relaxed structure of Cu2GeAu. Source: Alexandria via LeMat-Bulk, functional PBE.

The space group is R3m (No. 160, hexagonal axes) and the conventional cell measures 2.9317, 2.9317 and 24.4409 Å, with angles of 90.00, 90.00 and 120.00 degrees. The inequivalent atoms are Cu at (0.0000, 0.0000, 0.0000), Cu at (0.0000, 0.0000, 0.1752), Ge at (0.0000, 0.0000, 0.5876) and Au at (0.0000, 0.0000, 0.4210).

The volume comes out at 181.9 Å³/cell. For the calculated formation energy, the calculation gives 0.085 eV per atom. Its density of states at the Fermi level is 6.22 states/eV per cell. The calculation puts the raw total energy at -3.936 eV per atom. Its total moment is 0.000 μB/atom.



(4)
A relaxed structure of CuGeAu2. Source: Alexandria via LeMat-Bulk, functional PBE.

The space group is I-42d (No. 122) and the conventional cell measures 7.3334, 7.3334 and 5.3785 Å, with angles of 90.00, 90.00 and 90.00 degrees. The inequivalent atoms are Cu at (0.0000, 0.0000, 0.0000), Ge at (0.0000, 0.0000, 0.5000) and Au at (0.2482, 0.7500, 0.1250).

The volume comes out at 289.2 Å³/cell. For the calculated formation energy, the calculation gives 0.154 eV per atom. Its density of states at the Fermi level is 7.47 states/eV per cell. The calculation puts the raw total energy at -3.663 eV per atom. Its total moment is 0.000 μB/atom.



(5)
A relaxed structure of Cu5GeAu6. Source: Alexandria via LeMat-Bulk, functional PBE.

The space group is C2/m (No. 12) and the conventional cell measures 5.0016, 8.6226 and 8.9493 Å, with angles of 90.00, 100.68 and 90.00 degrees. The inequivalent atoms are Cu at (0.0000, 0.0000, 0.0000), Cu at (0.0000, 0.1718, 0.5000), Cu at (0.0000, 0.3390, 0.0000), Ge at (0.0000, 0.5000, 0.5000), Au at (0.2455, 0.0000, 0.7511) and Au at (0.2448, 0.1690, 0.2426).

The volume comes out at 379.3 Å³/cell. For the calculated formation energy, the calculation gives 0.042 eV per atom. Its density of states at the Fermi level is 9.59 states/eV per cell. The calculation puts the raw total energy at -3.688 eV per atom. Its total moment is 0.000 μB/atom.



(6)
A relaxed structure of Cu4GeAu3. Source: Alexandria via LeMat-Bulk, functional PBE.

The space group is Imm2 (No. 44) and the conventional cell measures 5.3044, 8.9413 and 5.2115 Å, with angles of 90.00, 90.00 and 90.00 degrees. The inequivalent atoms are Cu at (0.0000, 0.2495, 0.0000), Cu at (0.2411, 0.5000, 0.2591), Ge at (0.0000, 0.0000, 0.1827), Au at (0.0000, 0.2275, 0.4973) and Au at (0.0000, 0.5000, 0.7650).

The volume comes out at 247.2 Å³/cell. For the calculated formation energy, the calculation gives 0.063 eV per atom. Its density of states at the Fermi level is 5.13 states/eV per cell. The calculation puts the raw total energy at -3.792 eV per atom. Its total moment is 0.000 μB/atom.



(7)
A relaxed structure of Cu7Ge2Au2. Source: Alexandria via LeMat-Bulk, functional PBE.

The space group is C2/m (No. 12) and the conventional cell measures 6.9180, 8.1799 and 5.9457 Å, with angles of 90.00, 108.88 and 90.00 degrees. The inequivalent atoms are Cu at (0.0000, 0.0000, 0.0000), Cu at (0.0999, 0.5000, 0.8539), Cu at (0.1729, 0.2734, 0.1624), Ge at (0.0000, 0.2859, 0.5000) and Au at (0.1937, 0.0000, 0.4712).

The volume comes out at 318.4 Å³/cell. For the calculated formation energy, the calculation gives 0.092 eV per atom. Its density of states at the Fermi level is 8.59 states/eV per cell. The calculation puts the raw total energy at -3.950 eV per atom. Its total moment is 0.000 μB/atom.



(8)
A relaxed structure of Cu14GeAu. Source: Alexandria via LeMat-Bulk, functional PBE.

The space group is Amm2 (No. 38) and the conventional cell measures 8.5395, 5.2529 and 9.0229 Å, with angles of 90.00, 90.00 and 90.00 degrees. The inequivalent atoms are Cu at (0.0000, 0.0000, 0.0000), Cu at (0.0000, 0.0000, 0.4994), Cu at (0.0000, 0.2478, 0.2488), Cu at (0.2393, 0.2473, 0.4191), Cu at (0.2396, 0.0000, 0.6651), Cu at (0.2457, 0.0000, 0.1659), Cu at (0.5000, 0.2486, 0.5830), Ge at (0.5000, 0.0000, 0.3316) and Au at (0.5000, 0.0000, 0.8338).

The volume comes out at 404.7 Å³/cell. For the calculated formation energy, the calculation gives 0.021 eV per atom. Its density of states at the Fermi level is 13.59 states/eV per cell. The calculation puts the raw total energy at -4.056 eV per atom. Its total moment is 0.000 μB/atom.



(9)
A relaxed structure of Cu4Ge2Au5. Source: Alexandria via LeMat-Bulk, functional PBE.

The space group is C2/m (No. 12) and the conventional cell measures 19.4226, 2.8999 and 6.4376 Å, with angles of 90.00, 90.70 and 90.00 degrees. The inequivalent atoms are Cu at (0.0411, 0.0000, 0.1521), Cu at (0.0828, 0.0000, 0.7656), Ge at (0.1430, 0.5000, 0.0338), Au at (0.0000, 0.5000, 0.5000), Au at (0.1504, 0.0000, 0.4180) and Au at (0.2325, 0.0000, 0.7761).

The volume comes out at 362.6 Å³/cell. For the calculated formation energy, the calculation gives 0.099 eV per atom. Its density of states at the Fermi level is 6.26 states/eV per cell. The calculation puts the raw total energy at -3.720 eV per atom. Its total moment is 0.000 μB/atom.



(10)
A relaxed structure of CuGeAu2. Source: Alexandria via LeMat-Bulk, functional PBE.

The space group is P4/mmm (No. 123) and the conventional cell measures 3.3775, 3.3775 and 5.8872 Å, with angles of 90.00, 90.00 and 90.00 degrees. The inequivalent atoms are Cu at (0.0000, 0.0000, 0.0000), Ge at (0.0000, 0.0000, 0.5000) and Au at (0.5000, 0.5000, 0.2380).

The volume comes out at 67.2 Å³/cell. For the calculated formation energy, the calculation gives 0.032 eV per atom. Its density of states at the Fermi level is 0.91 states/eV per cell. The calculation puts the raw total energy at -3.785 eV per atom. Its total moment is 0.000 μB/atom.



(11)
A relaxed structure of Cu8GeAu2. Source: Alexandria via LeMat-Bulk, functional PBE.

The space group is C2/m (No. 12) and the conventional cell measures 6.8591, 12.9815 and 4.5330 Å, with angles of 90.00, 129.39 and 90.00 degrees. The inequivalent atoms are Cu at (0.0000, 0.1913, 0.0000), Cu at (0.0555, 0.5000, 0.8005), Cu at (0.2353, 0.1324, 0.7172), Ge at (0.0000, 0.0000, 0.0000) and Au at (0.0000, 0.3134, 0.5000).

The volume comes out at 311.9 Å³/cell. For the calculated formation energy, the calculation gives 0.090 eV per atom. Its density of states at the Fermi level is 7.90 states/eV per cell. The calculation puts the raw total energy at -3.905 eV per atom. Its total moment is 0.000 μB/atom.



(12)
A relaxed structure of Cu2GeAu. Source: Alexandria via LeMat-Bulk, functional PBE.

The space group is I-42d (No. 122) and the conventional cell measures 7.0141, 7.0141 and 5.2382 Å, with angles of 90.00, 90.00 and 90.00 degrees. The inequivalent atoms are Cu at (0.2310, 0.2500, 0.1250), Ge at (0.0000, 0.0000, 0.0000) and Au at (0.0000, 0.0000, 0.5000).

The volume comes out at 257.7 Å³/cell. For the calculated formation energy, the calculation gives 0.203 eV per atom. Its density of states at the Fermi level is 8.46 states/eV per cell. The calculation puts the raw total energy at -3.818 eV per atom. Its total moment is 0.000 μB/atom.